Computed, not measured: an optimized crystal structure of LiMnCl2F at the GGA+U level of DFT.

abc: 5.107 5.107 4.043
angles: 90.00 90.00 90.00
Atoms (fractional coordinates):
Li1 0.000 0.000 0.000
Mn1 0.500 0.500 0.500
Cl1 0.000 0.500 0.500
Cl2 0.500 0.000 0.500
F1 0.500 0.500 0.000

Computed properties:
The value obtained for the density of states at the Fermi level is 0.000 states/eV/atom. Its calculated total energy is -4.71 eV/atom. Its space group is P4/mmm (123).